A plane-wave DFT calculation with GGA-PBEsol was carried out for an optimized crystal structure of MnW2Au.

Values from the calculation:
* distance to the lowest polymorph of the same formula: 0.0000 eV per atom
* ΔE_f: 0.355 eV/atom
* D(E_F): 0.722 states/eV/atom

```
data_MnW2Au
_cell_length_a 5.393
_cell_length_b 7.947
_cell_length_c 2.743
_cell_angle_alpha 90.00
_cell_angle_beta 90.00
_cell_angle_gamma 90.00
_symmetry_space_group_name_H-M 'C m m m'
_symmetry_Int_Tables_number 65
_symmetry_space_group_name_Hall '-C 2 2'
loop_
_atom_site_label
_atom_site_type_symbol
_atom_site_fract_x
_atom_site_fract_y
_atom_site_fract_z
Mn1 Mn 0.000 0.000 0.000
W1 W 0.250 0.250 0.500
Au1 Au 0.000 0.500 0.000
```